No. 1
Compound: AcInO4
Source: Alexandria
Functional: PBE
Structure: relaxed

- ΔE_f (raw) (eV per atom) = -1.680
- electronic total energy (eV per atom) = -6.1263
- total magnetization (μB per atom) = 0.34
- SG = P4/mmm, No. 123

CIF file:
```
data_AcInO4
_chemical_formula_sum 'Ac1 In1 O4'
_space_group_name_H-M_alt 'P 1'
_space_group_IT_number 1
_space_group_name_Hall 'P 1'
_cell_length_a 4.1026
_cell_length_b 4.1026
_cell_length_c 5.3121
_cell_angle_alpha 90.00
_cell_angle_beta 90.00
_cell_angle_gamma 90.00
loop_
_atom_site_label
_atom_site_type_symbol
_atom_site_fract_x
_atom_site_fract_y
_atom_site_fract_z
_atom_site_occupancy
O1 O 0.5000 0.0000 0.7185 1
O2 O 0.0000 0.5000 0.2815 1
O3 O 0.5000 0.0000 0.2815 1
O4 O 0.0000 0.5000 0.7185 1
In1 In 0.5000 0.5000 0.5000 1
Ac1 Ac 0.0000 0.0000 0.0000 1
```

No. 2
Compound: LaSmGdSc
Source: Alexandria
Functional: PBE
Structure: relaxed

- energy relative to the elements (meV per atom) = 106
- electronic total energy (eV per atom) = -7.4092
- total magnetization (μB per atom) = 1.90
- SG = F-43m, No. 216

CIF file:
```
data_LaSmGdSc
_chemical_formula_sum 'La1 Sm1 Gd1 Sc1'
_space_group_name_H-M_alt 'P 1'
_space_group_IT_number 1
_space_group_name_Hall 'P 1'
_cell_length_a 5.6537
_cell_length_b 5.6537
_cell_length_c 5.6537
_cell_angle_alpha 60.00
_cell_angle_beta 60.00
_cell_angle_gamma 60.00
loop_
_atom_site_label
_atom_site_type_symbol
_atom_site_fract_x
_atom_site_fract_y
_atom_site_fract_z
_atom_site_occupancy
Gd1 Gd 0.5000 0.5000 0.5000 1
Sm1 Sm 0.2500 0.2500 0.2500 1
Sc1 Sc 0.0000 0.0000 0.0000 1
La1 La 0.7500 0.7500 0.7500 1
```

No. 3
Compound: PuTl2PbO8
Source: Alexandria
Functional: PBE
Structure: relaxed

- ΔE_f (raw) (eV per atom) = -1.269
- electronic total energy (eV per atom) = -6.4723
- total magnetization (μB per atom) = 0.09
- SG = Cmmm, No. 65

CIF file:
```
data_PuTl2PbO8
_chemical_formula_sum 'Pu1 Tl2 Pb1 O8'
_space_group_name_H-M_alt 'P 1'
_space_group_IT_number 1
_space_group_name_Hall 'P 1'
_cell_length_a 5.1919
_cell_length_b 5.1862
_cell_length_c 6.9652
_cell_angle_alpha 90.01
_cell_angle_beta 90.01
_cell_angle_gamma 92.88
loop_
_atom_site_label
_atom_site_type_symbol
_atom_site_fract_x
_atom_site_fract_y
_atom_site_fract_z
_atom_site_occupancy
O1 O 0.1786 0.8206 0.7895 1
O2 O 0.8214 0.1794 0.2105 1
O3 O 0.8214 0.1793 0.7895 1
O4 O 0.7031 0.7036 0.0000 1
O5 O 0.3068 0.3062 0.5000 1
O6 O 0.2969 0.2964 0.0000 1
O7 O 0.1786 0.8207 0.2105 1
O8 O 0.6932 0.6938 0.5000 1
Pu1 Pu 0.0000 0.0000 0.0000 1
Tl1 Tl 0.5000 0.5000 0.7527 1
Tl2 Tl 0.5000 0.5000 0.2473 1
Pb1 Pb 0.0000 0.0000 0.5000 1
```

No. 4
Compound: Pr3NdSb2
Source: Alexandria
Functional: PBE
Structure: relaxed

- ΔE_f (raw) (eV per atom) = -0.637
- electronic total energy (eV per atom) = -5.1950
- total magnetization (μB per atom) = 0.00
- SG = Ibam, No. 72

CIF file:
```
data_Pr3NdSb2
_chemical_formula_sum 'Pr6 Nd2 Sb4'
_space_group_name_H-M_alt 'P 1'
_space_group_IT_number 1
_space_group_name_Hall 'P 1'
_cell_length_a 7.3263
_cell_length_b 7.9315
_cell_length_c 9.1804
_cell_angle_alpha 115.59
_cell_angle_beta 113.52
_cell_angle_gamma 90.00
loop_
_atom_site_label
_atom_site_type_symbol
_atom_site_fract_x
_atom_site_fract_y
_atom_site_fract_z
_atom_site_occupancy
Nd1 Nd 0.0000 0.0000 0.0000 1
Nd2 Nd 0.0000 0.5000 0.0000 1
Pr1 Pr 0.2079 0.4579 0.4158 1
Pr2 Pr 0.7921 0.0421 0.5842 1
Pr3 Pr 0.5000 0.2500 0.0000 1
Pr4 Pr 0.7921 0.5421 0.5842 1
Pr5 Pr 0.5000 0.7500 0.0000 1
Pr6 Pr 0.2079 0.9579 0.4158 1
Sb1 Sb 0.4710 0.6464 0.2927 1
Sb2 Sb 0.5290 0.3536 0.7073 1
Sb3 Sb 0.8217 0.1464 0.2927 1
Sb4 Sb 0.1783 0.8536 0.7073 1
```

No. 5
Compound: TlRhF2
Source: Alexandria
Functional: PBE
Structure: relaxed

- ΔE_f (raw) (eV per atom) = -0.742
- electronic total energy (eV per atom) = -4.1075
- total magnetization (μB per atom) = 0.69
- SG = R-3m, No. 166

CIF file:
```
data_TlRhF2
_chemical_formula_sum 'Tl1 Rh1 F2'
_space_group_name_H-M_alt 'P 1'
_space_group_IT_number 1
_space_group_name_Hall 'P 1'
_cell_length_a 8.0554
_cell_length_b 8.0554
_cell_length_c 8.0554
_cell_angle_alpha 24.18
_cell_angle_beta 24.18
_cell_angle_gamma 24.18
loop_
_atom_site_label
_atom_site_type_symbol
_atom_site_fract_x
_atom_site_fract_y
_atom_site_fract_z
_atom_site_occupancy
Tl1 Tl 0.0000 0.0000 0.0000 1
Rh1 Rh 0.5000 0.5000 0.5000 1
F1 F 0.8888 0.8888 0.8888 1
F2 F 0.1112 0.1112 0.1112 1
```

No. 6
Compound: Li2AcCe2Ge2
Source: Alexandria
Functional: PBE
Structure: relaxed

- energy relative to the elements (meV per atom) = -463
- electronic total energy (eV per atom) = -4.6113
- total magnetization (μB per atom) = 0.27
- SG = R-3m, No. 166

CIF file:
```
data_Li2AcCe2Ge2
_chemical_formula_sum 'Li2 Ac1 Ce2 Ge2'
_space_group_name_H-M_alt 'P 1'
_space_group_IT_number 1
_space_group_name_Hall 'P 1'
_cell_length_a 4.4800
_cell_length_b 4.4800
_cell_length_c 9.7308
_cell_angle_alpha 76.69
_cell_angle_beta 76.69
_cell_angle_gamma 60.00
loop_
_atom_site_label
_atom_site_type_symbol
_atom_site_fract_x
_atom_site_fract_y
_atom_site_fract_z
_atom_site_occupancy
Li1 Li 0.5840 0.5839 0.2482 1
Li2 Li 0.4161 0.4160 0.7518 1
Ge1 Ge 0.2563 0.2563 0.2311 1
Ge2 Ge 0.7437 0.7437 0.7689 1
Ac1 Ac 0.0000 0.0000 0.0000 1
Ce1 Ce 0.1436 0.1436 0.5692 1
Ce2 Ce 0.8564 0.8564 0.4308 1
```

No. 7
Compound: Pr6CdPt2I3
Source: Alexandria
Functional: PBE
Structure: relaxed

- ΔE_f (raw) (eV per atom) = -0.893
- electronic total energy (eV per atom) = -4.7533
- total magnetization (μB per atom) = 0.00
- SG = C2/m, No. 12

CIF file:
```
data_Pr6CdPt2I3
_chemical_formula_sum 'Pr6 Cd1 Pt2 I3'
_space_group_name_H-M_alt 'P 1'
_space_group_IT_number 1
_space_group_name_Hall 'P 1'
_cell_length_a 7.5358
_cell_length_b 7.5358
_cell_length_c 8.4674
_cell_angle_alpha 98.64
_cell_angle_beta 98.64
_cell_angle_gamma 119.53
loop_
_atom_site_label
_atom_site_type_symbol
_atom_site_fract_x
_atom_site_fract_y
_atom_site_fract_z
_atom_site_occupancy
Cd1 Cd 0.0000 0.0000 0.0000 1
I1 I 0.1584 0.8416 0.5000 1
I2 I 0.8416 0.1584 0.5000 1
I3 I 0.5000 0.5000 0.5000 1
Pt1 Pt 0.6690 0.3310 0.0000 1
Pt2 Pt 0.3310 0.6690 0.0000 1
Pr1 Pr 0.9289 0.5683 0.7965 1
Pr2 Pr 0.5683 0.9289 0.7965 1
Pr3 Pr 0.0711 0.4317 0.2035 1
Pr4 Pr 0.4317 0.0711 0.2035 1
Pr5 Pr 0.7045 0.7045 0.1966 1
Pr6 Pr 0.2955 0.2955 0.8034 1
```

No. 8
Compound: BaCu4Ir
Source: Alexandria
Functional: PBE
Structure: relaxed

- energy relative to the elements (meV per atom) = 297
- electronic total energy (eV per atom) = -4.2315
- total magnetization (μB per atom) = 0.00
- SG = F-43m, No. 216

CIF file:
```
data_BaCu4Ir
_chemical_formula_sum 'Ba1 Cu4 Ir1'
_space_group_name_H-M_alt 'P 1'
_space_group_IT_number 1
_space_group_name_Hall 'P 1'
_cell_length_a 5.1973
_cell_length_b 5.1973
_cell_length_c 5.1973
_cell_angle_alpha 60.00
_cell_angle_beta 60.00
_cell_angle_gamma 60.00
loop_
_atom_site_label
_atom_site_type_symbol
_atom_site_fract_x
_atom_site_fract_y
_atom_site_fract_z
_atom_site_occupancy
Cu1 Cu 0.3776 0.3776 0.3776 1
Cu2 Cu 0.3776 0.8671 0.3776 1
Cu3 Cu 0.3776 0.3776 0.8671 1
Cu4 Cu 0.8671 0.3776 0.3776 1
Ba1 Ba 0.0000 0.0000 0.0000 1
Ir1 Ir 0.7500 0.7500 0.7500 1
```

- Which of these has the highest total magnetization?
  LaSmGdSc